No. 1
Below is an optimized crystal structure of Th2Ni3As4Rh, with properties calculated at the PBE level.

M_tot = 0.00 μB per cell
DFT formation energy = -0.85 eV per atom

Cell lengths 4.3064, 4.3064, 9.3815 Å; angles 90.00, 90.00, 90.00 degrees
Fractional coordinates of all 10 atoms:
Th (0.0000, 0.5000, 0.2476)
Th (0.5000, 0.0000, 0.7524)
Ni (0.0000, 0.0000, 0.0000)
Ni (0.0000, 0.5000, 0.6147)
Ni (0.5000, 0.0000, 0.3853)
As (0.0000, 0.0000, 0.5000)
As (0.0000, 0.5000, 0.8651)
As (0.5000, 0.0000, 0.1349)
As (0.5000, 0.5000, 0.5000)
Rh (0.5000, 0.5000, 0.0000)



No. 2
Below is an optimized crystal structure of ThNi5As2Rh, with properties calculated at the PBE level.

M_tot = 0.00 μB per cell
DFT formation energy = -0.08 eV per atom

Cell lengths 3.9448, 3.9448, 9.7464 Å; angles 90.00, 90.00, 90.00 degrees
Fractional coordinates of all 9 atoms:
Th (0.0000, 0.0000, 0.0000)
Ni (0.0000, 0.5000, 0.3481)
Ni (0.0000, 0.5000, 0.6519)
Ni (0.5000, 0.0000, 0.3481)
Ni (0.5000, 0.0000, 0.6519)
Ni (0.5000, 0.5000, 0.0000)
As (0.5000, 0.5000, 0.2271)
As (0.5000, 0.5000, 0.7729)
Rh (0.0000, 0.0000, 0.5000)



No. 3
Below is an optimized crystal structure of ThNiAs2Rh2, with properties calculated at the PBE level.

M_tot = 0.00 μB per cell
DFT formation energy = -0.33 eV per atom

Cell lengths 4.5021, 4.5021, 5.4714 Å; angles 90.00, 90.00, 90.00 degrees
Fractional coordinates of all 6 atoms:
Th (0.0000, 0.0000, 0.0000)
Ni (0.0000, 0.0000, 0.5000)
As (0.0000, 0.5000, 0.5000)
As (0.5000, 0.0000, 0.5000)
Rh (0.5000, 0.5000, 0.2406)
Rh (0.5000, 0.5000, 0.7594)



No. 4
Below is an optimized crystal structure of TmNiAs2Rh5, with properties calculated at the PBE level.

M_tot = 0.80 μB per cell
DFT formation energy = -0.18 eV per atom

Cell lengths 3.9986, 3.9986, 11.4137 Å; angles 90.00, 90.00, 90.00 degrees
Fractional coordinates of all 9 atoms:
Tm (0.0000, 0.0000, 0.0000)
Ni (0.5000, 0.5000, 0.5000)
As (0.5000, 0.5000, 0.3027)
As (0.5000, 0.5000, 0.6973)
Rh (0.0000, 0.5000, 0.1811)
Rh (0.0000, 0.5000, 0.8189)
Rh (0.5000, 0.0000, 0.1811)
Rh (0.5000, 0.0000, 0.8189)
Rh (0.5000, 0.5000, 0.0000)



No. 5
Below is an optimized crystal structure of UNiAs2Rh2, with properties calculated at the PBE level.

M_tot = 4.29 μB per cell
DFT formation energy = -0.41 eV per atom

Cell lengths 3.7409, 8.4956, 6.2859 Å; angles 90.00, 90.00, 90.00 degrees
Fractional coordinates of all 12 atoms:
U (0.0000, 0.0623, 0.0000)
U (0.0000, 0.9377, 0.5000)
Ni (0.5000, 0.1989, 0.7018)
Ni (0.5000, 0.8011, 0.2018)
As (0.0000, 0.3860, 0.7903)
As (0.0000, 0.6140, 0.2903)
As (0.5000, 0.1716, 0.3258)
As (0.5000, 0.8284, 0.8258)
Rh (0.0000, 0.3478, 0.4125)
Rh (0.0000, 0.6522, 0.9125)
Rh (0.5000, 0.3781, 0.0505)
Rh (0.5000, 0.6219, 0.5505)



No. 6
Below is an optimized crystal structure of ZnNiAsRh, with properties calculated at the PBE level.

M_tot = 0.00 μB per cell
DFT formation energy = -0.18 eV per atom

Cell lengths 4.2629, 4.2629, 4.2629 Å; angles 60.00, 60.00, 60.00 degrees
Fractional coordinates of all 4 atoms:
Zn (0.0000, 0.0000, 0.0000)
Ni (0.7500, 0.7500, 0.7500)
As (0.5000, 0.5000, 0.5000)
Rh (0.2500, 0.2500, 0.2500)



No. 7
Below is an optimized crystal structure of ZrNi2AsRh, with properties calculated at the PBE level.

M_tot = 0.00 μB per cell
DFT formation energy = 1.09 eV per atom

Cell lengths 4.6176, 4.6176, 4.7663 Å; angles 90.00, 90.00, 90.00 degrees
Fractional coordinates of all 5 atoms:
Zr (0.0000, 0.0000, 0.0000)
Ni (0.0000, 0.5000, 0.0000)
Ni (0.5000, 0.0000, 0.0000)
As (0.5000, 0.5000, 0.5000)
Rh (0.0000, 0.0000, 0.5000)



No. 8
Below is an optimized crystal structure of Zr2NiAsRh, with properties calculated at the PBE level.

M_tot = 0.00 μB per cell
DFT formation energy = 0.44 eV per atom

Cell lengths 5.0186, 5.0186, 4.5145 Å; angles 90.00, 90.00, 90.00 degrees
Fractional coordinates of all 5 atoms:
Zr (0.0000, 0.5000, 0.0000)
Zr (0.5000, 0.0000, 0.0000)
Ni (0.0000, 0.0000, 0.5000)
As (0.5000, 0.5000, 0.5000)
Rh (0.5000, 0.5000, 0.0000)



No. 9
Below is an optimized crystal structure of Ni4AsRu, with properties calculated at the PBE level.

M_tot = 3.29 μB per cell
DFT formation energy = 0.26 eV per atom

Cell lengths 4.7336, 4.7336, 4.7336 Å; angles 60.00, 60.00, 60.00 degrees
Fractional coordinates of all 6 atoms:
Ni (0.1246, 0.1246, 0.1246)
Ni (0.1246, 0.1246, 0.6263)
Ni (0.1246, 0.6263, 0.1246)
Ni (0.6263, 0.1246, 0.1246)
As (0.5000, 0.5000, 0.5000)
Ru (0.7500, 0.7500, 0.7500)



No. 10
Below is an optimized crystal structure of Ni2AsRu, with properties calculated at the PBE level.

M_tot = 0.00 μB per cell
DFT formation energy = 0.02 eV per atom

Cell lengths 4.9229, 4.9229, 4.9229 Å; angles 146.22, 129.45, 62.19 degrees
Fractional coordinates of all 4 atoms:
Ni (0.2256, 0.2256, 0.0000)
Ni (0.7744, 0.7744, 0.0000)
As (0.0000, 0.5000, 0.5000)
Ru (0.5000, 0.0000, 0.5000)



No. 11
Below is an optimized crystal structure of NiAs2Ru2, with properties calculated at the PBE level.

M_tot = 0.00 μB per cell
DFT formation energy = 0.06 eV per atom

Cell lengths 7.0249, 7.0249, 2.9363 Å; angles 90.00, 90.00, 90.00 degrees
Fractional coordinates of all 10 atoms:
Ni (0.0000, 0.0000, 0.0000)
Ni (0.5000, 0.5000, 0.0000)
As (0.1555, 0.3445, 0.0000)
As (0.3445, 0.8445, 0.0000)
As (0.6555, 0.1555, 0.0000)
As (0.8445, 0.6555, 0.0000)
Ru (0.1443, 0.6443, 0.5000)
Ru (0.3557, 0.1443, 0.5000)
Ru (0.6443, 0.8557, 0.5000)
Ru (0.8557, 0.3557, 0.5000)



No. 12
Below is an optimized crystal structure of Ni3AsRu, with properties calculated at the PBE level.

M_tot = 3.27 μB per cell
DFT formation energy = 0.82 eV per atom

Cell lengths 4.2791, 4.2791, 4.2791 Å; angles 90.00, 90.00, 90.00 degrees
Fractional coordinates of all 5 atoms:
Ni (0.0000, 0.0000, 0.5000)
Ni (0.0000, 0.5000, 0.0000)
Ni (0.5000, 0.0000, 0.0000)
As (0.0000, 0.0000, 0.0000)
Ru (0.5000, 0.5000, 0.5000)